Record 1
A relaxed RbPt4Pb4 crystal. Source: the Alexandria database, functional PBE.

As for the formation energy: -0.217 eV/atom. The total energy comes out at -83.8 eV/cell.

abc: 9.425 9.425 5.571
angles: 90.00 90.00 90.00
Space group P4_2/n (No. 86, origin choice 2)
Asymmetric unit:
Rb (0.250, 0.250, 0.250) (multiplicity 2)
Pt (0.078, 0.578, 0.656) (multiplicity 8)
Pb (0.116, 0.625, 0.149) (multiplicity 8)


Record 2
A relaxed RbPt2Pb2 crystal. Source: the Alexandria database, functional PBE.

As for the formation energy: -0.048 eV/atom. The total energy comes out at -41.4 eV/cell.

abc: 8.663 8.663 3.367
angles: 90.00 90.00 90.00
Space group P4/mbm (No. 127)
Asymmetric unit:
Rb (0.000, 0.000, 0.000) (multiplicity 2)
Pt (0.132, 0.368, 0.000) (multiplicity 4)
Pb (0.146, 0.646, 0.500) (multiplicity 4)


Copy entry 2 word for word.
A relaxed RbPt2Pb2 crystal. Source: the Alexandria database, functional PBE.

As for the formation energy: -0.048 eV/atom. The total energy comes out at -41.4 eV/cell.

abc: 8.663 8.663 3.367
angles: 90.00 90.00 90.00
Space group P4/mbm (No. 127)
Asymmetric unit:
Rb (0.000, 0.000, 0.000) (multiplicity 2)
Pt (0.132, 0.368, 0.000) (multiplicity 4)
Pb (0.146, 0.646, 0.500) (multiplicity 4)


> Which of these has the highest total energy?

RbPt2Pb2


Copy entry 1 word for word.
A relaxed RbPt4Pb4 crystal. Source: the Alexandria database, functional PBE.

As for the formation energy: -0.217 eV/atom. The total energy comes out at -83.8 eV/cell.

abc: 9.425 9.425 5.571
angles: 90.00 90.00 90.00
Space group P4_2/n (No. 86, origin choice 2)
Asymmetric unit:
Rb (0.250, 0.250, 0.250) (multiplicity 2)
Pt (0.078, 0.578, 0.656) (multiplicity 8)
Pb (0.116, 0.625, 0.149) (multiplicity 8)